# TmV2CuO8

A geometry-optimized TmV2CuO8 structure (PBE with a Hubbard U, Alexandria via LeMat-Bulk).

a = 5.760 Å, b = 5.760 Å, c = 5.736 Å
α = 90.00°, β = 90.00°, γ = 120.00°
Fractional coordinates of all 12 atoms:
Tm 0.000 0.000 0.000
V 0.333 0.667 0.642
V 0.667 0.333 0.358
Cu 0.000 0.000 0.500
O 0.160 0.320 0.730
O 0.160 0.840 0.730
O 0.320 0.160 0.270
O 0.333 0.667 0.358
O 0.667 0.333 0.642
O 0.680 0.840 0.730
O 0.840 0.160 0.270
O 0.840 0.680 0.270

Results
* calculated volume: 164.8 Å³ per cell
* size of the total moment: 1.99 μB per formula unit
* calculated total energy: -85.1 eV per cell